Model i:
PuPaGeAu | the Alexandria database | GGA-PBE | optimized geometry; spin magnetization = 1.947 μB per atom; crystal system = cubic
1.0
-1.113 1.209 -4.824
2.755 -1.952 -3.816
-2.048 -3.492 -3.094
Pa Ge Au Pu
1 1 1 1
Cartesian
0.000 0.000 0.000 Pa
-0.101 -1.059 -2.934 Ge
-0.304 -3.177 -8.801 Au
-0.203 -2.118 -5.867 Pu

Model ii:
PuPaGeAu | the Alexandria database | GGA-PBE | optimized geometry; spin magnetization = 1.667 μB per atom; crystal system = orthorhombic
1.0
-2.713 -0.353 2.952
1.198 -4.055 0.616
5.154 1.859 2.215
Pu Au Pa Ge
1 1 1 1
Cartesian
1.161 0.514 1.129 Pu
-0.175 -1.946 2.350 Au
1.922 -1.017 4.388 Pa
3.171 1.405 3.082 Ge

Energies, relative to the best one, in eV/atom: model i 0.045; model ii 0.000.